Material: BaLi2Au
Method: DFT, GGA-PBE
State: relaxed

Unit cell a=4.1727 b=4.4014 c=6.6196 alpha=90.00 beta=103.83 gamma=90.00
Space group Pm (No. 6)
Asymmetric unit:
Ba  0.0000  0.0000  0.0000
Li  0.3348  0.0000  0.5396
Li  0.7989  0.5000  0.4879
Au  0.4090  0.5000  0.7633

## Properties
Total DFT energy (no corrections) = -2.595 eV per atom
ΔH_f (0 K) = -1.354 eV/f.u.
ρ = 4.9 g/cm3
Offset from the most stable computed form = 59.8 meV per atom
M_tot = 0.00 μB/f.u.
D(E_F) = 2.74 states/eV per cell